K5Li4 | Alexandria via LeMat-Bulk | PBE | relaxed; calculated formation energy = 179.3 meV/atom
1.0
11.316 0.000 0.000
-5.658 9.800 0.000
0.000 0.000 7.841
K Li
10 8
Direct
0.000 0.288 0.250 K
0.000 0.712 0.750 K
0.288 0.000 0.250 K
0.288 0.288 0.750 K
0.333 0.667 0.000 K
0.333 0.667 0.500 K
0.667 0.333 0.000 K
0.667 0.333 0.500 K
0.712 0.000 0.750 K
0.712 0.712 0.250 K
0.000 0.000 0.000 Li
0.000 0.000 0.500 Li
0.000 0.365 0.750 Li
0.000 0.635 0.250 Li
0.365 0.000 0.750 Li
0.365 0.365 0.250 Li
0.635 0.000 0.250 Li
0.635 0.635 0.750 Li

***

HoTiMo4 | Alexandria via LeMat-Bulk | PBE | relaxed; calculated formation energy = 72.2 meV/atom
1.0
0.000 3.803 3.803
3.803 0.000 3.803
3.803 3.803 0.000
Ho Ti Mo
1 1 4
Direct
0.000 0.000 0.000 Ho
0.750 0.750 0.750 Ti
0.375 0.375 0.375 Mo
0.375 0.375 0.875 Mo
0.375 0.875 0.375 Mo
0.875 0.375 0.375 Mo

***

PaAuF | Alexandria via LeMat-Bulk | PBE | relaxed; energy relative to the elements, uncorrected = -1.5662 eV/atom
1.0
4.231 0.000 0.000
0.000 7.255 0.000
-4.218 0.000 7.407
Pa Au F
4 4 4
Direct
0.087 0.201 0.337 Pa
0.087 0.299 0.837 Pa
0.913 0.701 0.163 Pa
0.913 0.799 0.663 Pa
0.380 0.010 0.130 Au
0.380 0.490 0.630 Au
0.620 0.510 0.370 Au
0.620 0.990 0.870 Au
0.192 0.613 0.943 F
0.192 0.887 0.443 F
0.808 0.113 0.557 F
0.808 0.387 0.057 F

***

PaAs2O8 | Alexandria via LeMat-Bulk | PBE | relaxed; energy relative to the elements, uncorrected = -1.5871 eV/atom
1.0
5.293 -2.881 0.000
5.293 2.881 0.000
-1.661 0.000 5.253
Pa As O
1 2 8
Direct
0.000 0.000 0.000 Pa
0.203 0.203 0.697 As
0.797 0.797 0.303 As
0.099 0.663 0.193 O
0.155 0.155 0.366 O
0.337 0.901 0.807 O
0.371 0.371 0.795 O
0.629 0.629 0.205 O
0.663 0.099 0.193 O
0.845 0.845 0.634 O
0.901 0.337 0.807 O

***

Tl2SbCl | Alexandria via LeMat-Bulk | PBE | relaxed; energy relative to the elements, uncorrected = -0.2648 eV/atom
1.0
2.439 -2.451 0.000
2.439 2.451 0.000
0.000 0.000 11.150
Tl Sb Cl
2 1 1
Direct
0.000 0.000 0.000 Tl
0.500 0.500 0.311 Tl
0.500 0.500 0.785 Sb
0.000 0.000 0.459 Cl

***

Al2CoTc | Alexandria via LeMat-Bulk | PBE | relaxed; calculated formation energy = -111.8 meV/atom
1.0
1.385 0.800 8.367
-1.385 0.800 8.367
0.000 -1.600 8.367
Al Co Tc
2 1 1
Direct
0.000 0.000 0.000 Al
0.240 0.240 0.240 Al
0.743 0.743 0.743 Co
0.488 0.488 0.488 Tc